DFT (PBE with a Hubbard U) results for Ba2PrCo2O6 after structural relaxation.

Geometry as POSCAR:
```
Ba2PrCo2O6
1.0
-1.988 1.278 5.653
-5.918 -0.734 1.405
-1.524 -5.552 4.040
O Co Ba Pr
6 2 2 1
direct
0.747 0.237 0.269 O
0.763 0.253 0.731 O
0.253 0.763 0.731 O
0.237 0.747 0.269 O
0.747 0.747 0.269 O
0.253 0.253 0.731 O
0.421 0.421 0.737 Co
0.579 0.579 0.263 Co
0.209 0.209 0.374 Ba
0.791 0.791 0.626 Ba
0.000 0.000 0.000 Pr
```

Summary:
- Total magnetization: 7.0 μB/cell
- Energy: -0.473 Ry/atom